9
Lattice="5.397 0.000 0.000 -2.259 5.024 0.000 -0.218 -0.151 6.430" Properties=species:S:1:pos:R:3 comment="CsCoAsF6 | Alexandria via LeMat-Bulk | GGA+U | optimized geometry" e_tot_ev_per_atom=-4.692 pbc="T T T"
Cs 0.000 0.000 0.000
Co 0.101 3.355 3.207
As 2.810 1.556 3.233
F -0.883 2.144 4.498
F 1.168 1.773 2.200
F 1.972 0.020 4.383
F 0.779 4.683 1.911
F 1.920 2.898 4.282
F 3.753 2.973 2.107